A plane-wave DFT calculation with GGA+U was carried out for a geometry-optimized CsPrVF6 structure.

POSCAR file:
```
CsPrVF6
1.0
-4.050 4.284 5.633
4.050 -4.284 5.633
4.050 4.284 -5.633
Cs Pr V F
2 2 2 12
Direct
0.303 0.053 0.250
0.697 0.947 0.750
0.000 0.500 0.500
0.500 0.500 0.000
0.000 0.000 0.500
0.000 0.500 0.000
0.040 0.397 0.204
0.040 0.836 0.644
0.041 0.791 0.250
0.308 0.164 0.704
0.308 0.603 0.144
0.335 0.585 0.750
0.665 0.415 0.250
0.692 0.397 0.856
0.692 0.836 0.296
0.959 0.209 0.750
0.960 0.164 0.356
0.960 0.603 0.796
```

Results
Total magnetization, μB per atom: 0.333
E, eV/cell: -107.72
Calculated volume, Å³/f.u.: 195.5
Space-group type: Imma